No. 1
Density functional theory data (GGA-PBE) for a relaxed structure of TaFe.

Computed properties:
* E_tot: -9.719 eV/atom
* calculated density: 12.19 g/cm3
* symmetry: I4/m
* calculated volume: 16.12 Å³ per atom
* ΔH_f (0 K): 0.44 eV per atom

```
TaFe
1.0
7.982 0.000 0.000
0.000 7.982 0.000
0.000 0.000 4.049
Ta Fe
8 8
Direct
0.136 0.207 0.000 Ta
0.864 0.793 0.000 Ta
0.793 0.136 0.000 Ta
0.207 0.864 0.000 Ta
0.636 0.707 0.500 Ta
0.707 0.364 0.500 Ta
0.293 0.636 0.500 Ta
0.364 0.293 0.500 Ta
0.548 0.864 0.000 Fe
0.364 0.952 0.500 Fe
0.952 0.636 0.500 Fe
0.452 0.136 0.000 Fe
0.048 0.364 0.500 Fe
0.136 0.548 0.000 Fe
0.636 0.048 0.500 Fe
0.864 0.452 0.000 Fe
```


No. 2
Density functional theory data (GGA-PBE) for a relaxed structure of Ta3Fe2.

Computed properties:
* E_tot: -10.423 eV/atom
* calculated density: 13.44 g/cm3
* symmetry: P-3m1
* calculated volume: 16.18 Å³ per atom
* ΔH_f (0 K): 0.07 eV per atom

```
Ta3Fe2
1.0
2.111 -3.656 0.000
2.111 3.656 0.000
0.000 0.000 5.241
Fe Ta
2 3
Direct
0.667 0.333 0.165 Fe
0.333 0.667 0.835 Fe
0.000 0.000 0.000 Ta
0.333 0.667 0.345 Ta
0.667 0.333 0.655 Ta
```


No. 3
Density functional theory data (GGA-PBE) for a relaxed structure of TaFe.

Computed properties:
* E_tot: -9.511 eV/atom
* calculated density: 12.20 g/cm3
* symmetry: P6_3/mmc
* calculated volume: 16.12 Å³ per atom
* ΔH_f (0 K): 0.65 eV per atom

```
TaFe
1.0
2.267 -3.927 0.000
2.267 3.927 0.000
0.000 0.000 7.242
Ta Fe
4 4
Direct
0.000 0.000 0.250 Ta
0.667 0.333 0.250 Ta
0.000 0.000 0.750 Ta
0.333 0.667 0.750 Ta
0.333 0.667 0.084 Fe
0.667 0.333 0.584 Fe
0.667 0.333 0.916 Fe
0.333 0.667 0.416 Fe
```